Entry 1:
# La8PtRh5

A geometry-optimized La8PtRh5 structure (PBE, the Alexandria database).

a b c (Å): 7.819 7.819 7.819
angles (deg): 109.24 109.94 109.24
Element x y z (fractional)
La: 0.120 0.752 0.990
La: 0.010 0.130 0.762
La: 0.736 0.250 0.375
La: 0.625 0.361 0.875
La: 0.514 0.639 0.264
La: 0.632 0.870 0.880
La: 0.238 0.248 0.368
La: 0.125 0.750 0.486
Pt: 0.250 0.500 0.750
Rh: 0.002 0.376 0.123
Rh: 0.877 0.879 0.253
Rh: 0.747 0.624 0.626
Rh: 0.500 0.000 0.500
Rh: 0.374 0.121 0.998

Values from the calculation:
M_tot   0.0 μB/f.u.
Density of states at the Fermi level   8.5 states/eV/cell
Mass density   8.2 g cm⁻³
Energy of formation from the pure elements   -75 kJ/mol of atoms


Entry 2:
# La6Pt5Rh

A geometry-optimized La6Pt5Rh structure (PBE, the Alexandria database).

a b c (Å): 7.361 7.330 7.333
angles (deg): 60.01 80.45 70.62
Element x y z (fractional)
Rh: 0.000 0.000 0.000
Pt: 0.500 0.169 0.661
Pt: 0.000 0.334 0.333
Pt: 0.500 0.500 0.000
Pt: 0.000 0.666 0.667
Pt: 0.500 0.831 0.339
La: 0.754 0.082 0.327
La: 0.246 0.591 0.327
La: 0.249 0.244 0.000
La: 0.751 0.756 0.000
La: 0.754 0.409 0.673
La: 0.246 0.918 0.673

Values from the calculation:
M_tot   0.0 μB/f.u.
Density of states at the Fermi level   7.2 states/eV/cell
Mass density   9.8 g cm⁻³
Energy of formation from the pure elements   -104 kJ/mol of atoms


Entry 3:
# La2PtRh

A geometry-optimized La2PtRh structure (PBE, the Alexandria database).

a b c (Å): 4.128 4.128 7.607
angles (deg): 74.26 74.26 60.00
Element x y z (fractional)
La: 0.083 0.083 0.751
La: 0.250 0.250 0.251
Pt: 0.666 0.666 0.002
Rh: 0.501 0.501 0.496

Values from the calculation:
M_tot   0.0 μB/f.u.
Density of states at the Fermi level   3.1 states/eV/cell
Mass density   9.0 g cm⁻³
Energy of formation from the pure elements   -78 kJ/mol of atoms


Entry 4:
# La2PtRh

A geometry-optimized La2PtRh structure (PBE, the Alexandria database).

a b c (Å): 4.207 4.207 5.938
angles (deg): 90.00 90.00 90.01
Element x y z (fractional)
Rh: 0.500 0.500 0.875
Pt: 0.000 0.000 0.375
La: 0.000 0.000 0.875
La: 0.500 0.500 0.375

Values from the calculation:
M_tot   0.0 μB/f.u.
Density of states at the Fermi level   2.2 states/eV/cell
Mass density   9.1 g cm⁻³
Energy of formation from the pure elements   -87 kJ/mol of atoms


Entry 5:
# La3PtRh

A geometry-optimized La3PtRh structure (PBE, the Alexandria database).

a b c (Å): 5.910 7.300 9.301
angles (deg): 119.82 71.44 113.95
Element x y z (fractional)
La: 0.334 0.742 0.073
La: 0.336 0.274 0.602
La: 0.007 0.777 0.765
La: 0.993 0.223 0.235
La: 0.666 0.258 0.927
La: 0.664 0.726 0.398
Pt: 0.490 0.244 0.263
Pt: 0.510 0.756 0.737
Rh: 0.829 0.749 0.091
Rh: 0.171 0.251 0.909

Values from the calculation:
M_tot   0.0 μB/f.u.
Density of states at the Fermi level   7.2 states/eV/cell
Mass density   7.5 g cm⁻³
Energy of formation from the pure elements   -77 kJ/mol of atoms


Entry 6:
# LaPt2Rh2

A geometry-optimized LaPt2Rh2 structure (PBE, the Alexandria database).

a b c (Å): 7.773 7.773 2.968
angles (deg): 90.00 90.00 90.00
Element x y z (fractional)
Rh: 0.175 0.675 0.500
Rh: 0.675 0.825 0.500
Rh: 0.825 0.325 0.500
Rh: 0.325 0.175 0.500
Pt: 0.375 0.875 0.000
Pt: 0.875 0.625 0.000
Pt: 0.625 0.125 0.000
Pt: 0.125 0.375 0.000
La: 0.000 0.000 0.000
La: 0.500 0.500 0.000

Values from the calculation:
M_tot   0.0 μB/f.u.
Density of states at the Fermi level   9.5 states/eV/cell
Mass density   13.6 g cm⁻³
Energy of formation from the pure elements   -32 kJ/mol of atoms